(1)
The following is a DFT calculation (GGA-PBE) of a relaxed structure of LaOsRu2.

Lattice parameters (Å, degrees): 4.8879 4.8879 5.4634 78.82 78.82 35.25
Positions (direct):
Os 0.2500 0.2500 0.2500
La 0.7500 0.7500 0.7500
Ru 0.5166 0.5166 0.4312
Ru 0.9834 0.9834 0.0688

Calculated values
space group: C2/m, No. 12
energy relative to the elements: 0.35 eV/atom


(2)
The following is a DFT calculation (GGA-PBE) of a relaxed structure of La2OsRu.

Lattice parameters (Å, degrees): 7.5920 7.5920 6.2151 52.35 52.35 90.00
Positions (direct):
Os 0.7500 0.2500 0.5000
Os 0.0000 0.0000 0.0000
La 0.6188 0.1250 0.2500
La 0.3750 0.3812 0.7500
La 0.1312 0.6250 0.2500
La 0.8750 0.8688 0.7500
Ru 0.5000 0.5000 0.0000
Ru 0.2500 0.7500 0.5000

Calculated values
space group: I-42d, No. 122
energy relative to the elements: 0.36 eV/atom


Number 1: relative energy among the computed polymorphs 33 kJ/mol of formula units, Fermi-level density of states 1.44 states/eV/atom. Number 2: relative energy among the computed polymorphs 168 kJ/mol of formula units, Fermi-level density of states 1.08 states/eV/atom.